Compound: RuAuSN2
Source: the Alexandria database
Functional: PBE
Structure: optimized geometry

a = 3.815 Å, b = 3.815 Å, c = 7.433 Å
α = 90.00°, β = 90.00°, γ = 90.00°
Fractional positions:
Ru (0.000, 0.000, 0.000)
Au (0.500, 0.500, 0.500)
S (0.500, 0.500, 0.000)
N (0.000, 0.500, 0.500)
N (0.500, 0.000, 0.500)

## Properties
- space-group type = P4/mmm
- DOS(E_F) (states/eV per cell) = 6.9
- energy (eV per atom) = -4.5417
- raw formation energy (eV per atom) = 2.125
- relative energy among the computed polymorphs (eV/atom) = 1.2624

---

Compound: PmNi2Rh
Source: the Alexandria database
Functional: PBE
Structure: optimized geometry

a = 4.212 Å, b = 4.212 Å, c = 13.895 Å
α = 90.00°, β = 90.00°, γ = 120.00°
Fractional positions:
Pm (0.000, 0.000, 0.000)
Pm (0.333, 0.667, 0.667)
Pm (0.667, 0.333, 0.333)
Ni (0.000, 0.000, 0.195)
Ni (0.000, 0.000, 0.805)
Ni (0.333, 0.667, 0.471)
Ni (0.333, 0.667, 0.862)
Ni (0.667, 0.333, 0.138)
Ni (0.667, 0.333, 0.529)
Rh (0.000, 0.000, 0.500)
Rh (0.333, 0.667, 0.167)
Rh (0.667, 0.333, 0.833)

## Properties
- space-group type = R-3m
- DOS(E_F) (states/eV per cell) = 7.8
- energy (eV per atom) = -6.2546
- relative energy among the computed polymorphs (eV/atom) = 0.0000

---

Compound: HoTm4Sc15
Source: the Alexandria database
Functional: PBE
Structure: optimized geometry

a = 4.691 Å, b = 4.691 Å, c = 23.497 Å
α = 90.00°, β = 90.00°, γ = 90.00°
Fractional positions:
Ho (0.000, 0.000, 0.000)
Tm (0.000, 0.000, 0.200)
Tm (0.000, 0.000, 0.400)
Tm (0.000, 0.000, 0.600)
Tm (0.000, 0.000, 0.800)
Sc (0.000, 0.500, 0.100)
Sc (0.000, 0.500, 0.300)
Sc (0.000, 0.500, 0.500)
Sc (0.000, 0.500, 0.700)
Sc (0.000, 0.500, 0.900)
Sc (0.500, 0.000, 0.100)
Sc (0.500, 0.000, 0.300)
Sc (0.500, 0.000, 0.500)
Sc (0.500, 0.000, 0.700)
Sc (0.500, 0.000, 0.900)
Sc (0.500, 0.500, 0.000)
Sc (0.500, 0.500, 0.200)
Sc (0.500, 0.500, 0.400)
Sc (0.500, 0.500, 0.600)
Sc (0.500, 0.500, 0.800)

## Properties
- space-group type = P4/mmm
- DOS(E_F) (states/eV per cell) = 38.6
- energy (eV per atom) = -5.8161